(1)
A relaxed structure of Cs2BaPuO4, computed with PBE.

Properties
The uncorrected formation energy comes out at -2.2074 eV per atom. The total energy is -6.932 eV per atom. The total moment comes out at 4.00 μB per formula unit.

a = 6.720 Å, b = 3.756 Å, c = 7.325 Å
α = 90.00°, β = 109.58°, γ = 90.00°
Space group P2/m (No. 10)
One atom of each set of equivalent atoms:
Cs 0.000 0.000 0.000 x1
Cs 0.500 0.500 0.000 x1
Ba 0.000 0.500 0.500 x1
Pu 0.500 0.000 0.500 x1
O 0.290 0.000 0.666 x2
O 0.304 0.500 0.327 x2

(2)
A relaxed structure of Ba4TlAg, computed with PBE.

Properties
The value obtained for the energy above the most stable polymorph in this dataset is 21 meV/atom. The total energy is -2.356 eV per atom. The total moment comes out at 0.01 μB per formula unit.

a = 11.012 Å, b = 16.020 Å, c = 7.861 Å
α = 90.00°, β = 124.10°, γ = 90.00°
Space group C2/c (No. 15)
One atom of each set of equivalent atoms:
Ba 0.126 0.181 0.096 x8
Ba 0.198 0.442 0.271 x8
Tl 0.000 0.365 0.750 x4
Ag 0.000 0.000 0.250 x4